No. 1
MgCd3 GGA-PBEsol optimized geometry; symmetry = Fm-3m (225); magnetization = 0.0 μB/cell; formation energy = -26 meV/atom; electronic total energy = -5.41 eV/cell; energy above the lowest structure with this stoichiometry = 54 meV/atom
1.0
4.907 0.000 0.000
2.453 4.249 0.000
2.453 1.416 4.006
Mg Cd
1 3
Cartesian
4.907 2.833 2.003
2.453 1.416 1.002
7.360 4.249 3.005
0.000 0.000 0.000

=====

No. 2
MgCd3 GGA-PBEsol optimized geometry; symmetry = P4/mmm (123); magnetization = 0.0 μB/cell; formation energy = -54 meV/atom; electronic total energy = -5.53 eV/cell; energy above the lowest structure with this stoichiometry = 25 meV/atom
1.0
-1.261 -2.656 -1.012
2.805 -0.986 -0.908
1.264 -3.563 7.773
Mg Cd
1 3
Cartesian
0.772 -1.821 -0.960
0.950 -2.678 5.843
0.314 -0.885 1.930
1.404 -3.602 2.926

=====

No. 3
Mg5Cd GGA-PBEsol optimized geometry; symmetry = P-6m2 (187); magnetization = 0.0 μB/cell; formation energy = -25 meV/atom; electronic total energy = -9.93 eV/cell
1.0
-2.220 1.239 -1.935
-0.648 -0.442 3.098
5.046 13.750 3.015
Mg Cd
5 1
Cartesian
-0.367 2.310 1.901
1.663 4.532 0.994
1.351 6.993 2.928
3.383 9.218 2.021
3.070 11.677 3.955
0.000 0.000 0.000

=====

No. 4
Mg3Cd4 GGA-PBEsol optimized geometry; symmetry = I4/mmm (139); magnetization = 0.0 μB/cell; formation energy = -72 meV/atom; electronic total energy = -10.44 eV/cell
1.0
-2.121 0.682 3.024
-0.545 -3.689 0.450
9.847 0.987 4.351
Mg Cd
3 4
Cartesian
0.000 0.000 0.000
4.914 -0.298 3.514
2.267 -1.722 4.312
2.444 -0.148 1.747
7.308 -0.443 5.226
-0.127 -1.577 2.600
4.737 -1.871 6.078

=====

No. 5
Mg3Cd5 GGA-PBEsol optimized geometry; symmetry = Fmmm (69); magnetization = 0.0 μB/cell; formation energy = -23 meV/atom; electronic total energy = -22.64 eV/cell; energy above the lowest structure with this stoichiometry = 68 meV/atom
1.0
-1.582 0.271 -5.335
-8.028 -2.116 -0.636
-2.845 7.629 -1.679
Cd Mg
10 6
Cartesian
-8.806 3.529 -3.028
-6.882 0.200 -3.767
-0.396 0.068 -1.334
-3.585 4.772 -1.604
-8.930 4.920 -5.830
-3.525 0.863 -1.820
-8.870 1.010 -6.046
-1.187 0.203 -4.001
-5.573 5.583 -3.882
-3.649 2.253 -4.622
-4.221 -0.551 -4.594
-6.623 2.959 -5.158
-1.539 2.865 -2.307
-2.888 5.034 -4.706
-5.832 2.824 -2.491
-5.389 -1.295 -1.377

=====

No. 6
Mg4Cd3 GGA-PBEsol optimized geometry; symmetry = I4/mmm (139); magnetization = 0.0 μB/cell; formation energy = -68 meV/atom; electronic total energy = -10.93 eV/cell; energy above the lowest structure with this stoichiometry = 0 meV/atom
1.0
-2.365 2.179 1.872
0.527 -2.055 3.057
9.056 6.300 0.409
Mg Cd
4 3
Cartesian
2.382 1.862 0.841
6.991 5.467 2.469
0.227 0.958 2.869
4.837 4.562 4.497
0.000 0.000 0.000
4.674 3.655 1.651
2.544 2.770 3.688

=====

No. 7
MgCd GGA-PBEsol optimized geometry; symmetry = I4_1/amd (141); magnetization = 0.0 μB/cell; formation energy = -87 meV/atom; electronic total energy = -6.18 eV/cell
1.0
-3.209 -0.813 -2.784
1.447 -4.049 -0.486
-1.718 1.096 5.021
Mg Cd
2 2
Cartesian
-2.312 0.011 2.662
-1.168 -3.777 -0.910
-3.193 -2.421 1.028
-0.287 -1.346 0.725

=====

No. 8
MgCd3 GGA-PBEsol optimized geometry; symmetry = C2/m (12); magnetization = 0.0 μB/cell; formation energy = -56 meV/atom; electronic total energy = -5.53 eV/cell; energy above the lowest structure with this stoichiometry = 23 meV/atom
1.0
3.181 0.000 0.000
-1.591 4.896 -0.025
0.000 -1.023 5.385
Mg Cd
1 3
Cartesian
1.591 0.000 0.000
1.591 1.689 4.038
0.000 2.184 1.322
0.000 -0.511 2.692

=====

No. 9
MgCd3 GGA-PBEsol optimized geometry; symmetry = Pnma (62); magnetization = 0.0 μB/cell; formation energy = -54 meV/atom; electronic total energy = -22.10 eV/cell; energy above the lowest structure with this stoichiometry = 25 meV/atom
1.0
5.345 0.000 0.000
0.000 6.290 0.000
0.000 0.000 9.889
Cd Mg
12 4
Cartesian
0.423 0.750 7.417
3.994 3.956 9.864
3.994 3.956 4.970
4.024 0.811 4.919
4.024 0.811 0.025
2.249 3.895 2.472
3.096 2.395 7.417
1.321 5.479 9.864
1.321 5.479 4.970
1.351 2.334 4.919
1.351 2.334 0.025
4.922 5.540 2.472
4.919 2.417 2.472
3.098 5.562 7.417
2.247 0.728 2.472
0.426 3.873 7.417

=====

No. 10
MgCd7 GGA-PBEsol optimized geometry; symmetry = Fm-3m (225); magnetization = 0.0 μB/cell; formation energy = -30 meV/atom; electronic total energy = -10.34 eV/cell
1.0
6.196 0.000 0.000
3.098 5.366 0.000
3.098 1.789 5.059
Cd Mg
7 1
Cartesian
3.098 0.000 0.000
4.647 2.683 0.000
1.549 2.683 0.000
4.647 0.894 2.530
1.549 0.894 2.530
3.098 3.577 2.530
6.196 3.577 2.530
0.000 0.000 0.000

=====

No. 11
MgCd3 GGA-PBEsol optimized geometry; symmetry = I4/mmm (139); magnetization = 0.0 μB/cell; formation energy = -75 meV/atom; electronic total energy = -11.22 eV/cell; energy above the lowest structure with this stoichiometry = 4 meV/atom
1.0
-4.065 -0.465 -1.571
1.096 -3.895 -1.684
-0.914 -1.668 8.969
Cd Mg
6 2
Cartesian
-2.032 -0.232 -0.786
-3.275 -5.054 3.855
-0.607 -0.975 1.859
-0.651 -3.872 2.829
-3.232 -2.156 2.885
0.548 -1.948 -0.842
-2.076 -3.130 0.185
-1.806 -2.898 5.529

=====

No. 12
MgCd GGA-PBEsol optimized geometry; symmetry = Amm2 (38); magnetization = 0.0 μB/cell; formation energy = -106 meV/atom; electronic total energy = -9.38 eV/cell
1.0
3.137 0.000 0.000
0.000 4.964 0.000
-1.569 0.000 7.975
Mg Cd
3 3
Cartesian
1.569 0.000 7.886
1.569 0.000 2.642
1.569 2.482 4.508
0.000 0.000 5.284
0.000 2.482 7.119
0.000 2.482 1.805

=====

> The lowest formation energy belongs to which entry?

number 12